1.
The following is a PBE calculation of a geometry-optimized Te2W3 structure, from Alexandria via LeMat-Bulk.

Properties
**Density of states at the Fermi level**: 3.33 states/eV/cell
**ΔE_f (raw)**: 0.65 eV/atom

Unit cell a=10.9219 b=10.9219 c=10.9219 alpha=17.23 beta=17.23 gamma=17.23
Fractional positions:
Te 0.1032 0.1032 0.1032
Te 0.8968 0.8968 0.8968
W 0.3073 0.3073 0.3073
W 0.5000 0.5000 0.5000
W 0.6927 0.6927 0.6927

---

2.
The following is a PBE calculation of a geometry-optimized TeW3 structure, from Alexandria via LeMat-Bulk.

Properties
**Offset from the most stable computed form**: 125 meV/atom
**Density of states at the Fermi level**: 2.04 states/eV/cell
**ΔE_f (raw)**: 0.67 eV/atom

Unit cell a=3.1786 b=4.7892 c=4.6024 alpha=90.00 beta=90.00 gamma=90.00
Fractional positions:
Te 0.0000 0.0000 0.0000
W 0.0000 0.5000 0.3457
W 0.5000 0.0000 0.5210
W 0.5000 0.5000 0.8304

---

3.
The following is a PBE calculation of a geometry-optimized TeW structure, from Alexandria via LeMat-Bulk.

Properties
**Offset from the most stable computed form**: 61 meV/atom
**Density of states at the Fermi level**: 3.24 states/eV/cell
**ΔE_f (raw)**: 0.29 eV/atom

Unit cell a=3.2924 b=3.2924 c=10.0672 alpha=90.00 beta=90.00 gamma=120.00
Fractional positions:
Te 0.3333 0.6667 0.2010
Te 0.6667 0.3333 0.7990
W 0.3333 0.6667 0.5953
W 0.6667 0.3333 0.4047

---

4.
The following is a PBE calculation of a geometry-optimized TeW structure, from Alexandria via LeMat-Bulk.

Properties
**Offset from the most stable computed form**: 289 meV/atom
**Density of states at the Fermi level**: 1.94 states/eV/cell
**ΔE_f (raw)**: 0.51 eV/atom

Unit cell a=3.4240 b=6.9562 c=6.9562 alpha=124.55 beta=90.00 gamma=90.00
Fractional positions:
Te 0.0000 0.0000 0.0000
Te 0.5000 0.4562 0.7908
Te 0.5000 0.7908 0.4562
W 0.0000 0.1130 0.4558
W 0.0000 0.4558 0.1130
W 0.5000 0.3318 0.3318

---

5.
The following is a PBE calculation of a geometry-optimized TeW2 structure, from Alexandria via LeMat-Bulk.

Properties
**Offset from the most stable computed form**: 674 meV/atom
**Density of states at the Fermi level**: 3.35 states/eV/cell
**ΔE_f (raw)**: 0.87 eV/atom

Unit cell a=4.6849 b=4.6849 c=2.8936 alpha=90.00 beta=90.00 gamma=120.00
Fractional positions:
Te 0.0000 0.0000 0.0000
W 0.3333 0.6667 0.1845
W 0.6667 0.3333 0.8155

---

6.
The following is a PBE calculation of a geometry-optimized TeW3 structure, from Alexandria via LeMat-Bulk.

Properties
**Offset from the most stable computed form**: 493 meV/atom
**Density of states at the Fermi level**: 5.39 states/eV/cell
**ΔE_f (raw)**: 1.03 eV/atom

Unit cell a=4.1127 b=4.1127 c=4.1127 alpha=90.00 beta=90.00 gamma=90.00
Fractional positions:
Te 0.0000 0.0000 0.0000
W 0.0000 0.5000 0.5000
W 0.5000 0.0000 0.5000
W 0.5000 0.5000 0.0000

---

7.
The following is a PBE calculation of a geometry-optimized TeW5 structure, from Alexandria via LeMat-Bulk.

Properties
**Offset from the most stable computed form**: 0 meV/atom
**Density of states at the Fermi level**: 4.33 states/eV/cell
**ΔE_f (raw)**: 0.42 eV/atom

Unit cell a=5.3503 b=5.3503 c=6.4267 alpha=107.59 beta=107.59 gamma=35.44
Fractional positions:
Te 0.0000 0.0000 0.0000
W 0.0000 0.0000 0.5000
W 0.3294 0.3294 0.6582
W 0.3311 0.3311 0.1716
W 0.6689 0.6689 0.8284
W 0.6706 0.6706 0.3418

---

8.
The following is a PBE calculation of a geometry-optimized TeW structure, from Alexandria via LeMat-Bulk.

Properties
**Offset from the most stable computed form**: 603 meV/atom
**Density of states at the Fermi level**: 3.75 states/eV/cell
**ΔE_f (raw)**: 0.83 eV/atom

Unit cell a=3.2168 b=3.2168 c=8.6172 alpha=90.00 beta=90.00 gamma=120.00
Fractional positions:
Te 0.0000 0.0000 0.0000
Te 0.0000 0.0000 0.5000
W 0.3333 0.6667 0.2500
W 0.6667 0.3333 0.7500

---

9.
The following is a PBE calculation of a geometry-optimized Te4W3 structure, from Alexandria via LeMat-Bulk.

Properties
**Offset from the most stable computed form**: 0 meV/atom
**Density of states at the Fermi level**: 6.20 states/eV/cell
**ΔE_f (raw)**: 0.30 eV/atom

Unit cell a=15.6745 b=15.6745 c=15.6745 alpha=168.11 beta=168.11 gamma=16.85
Fractional positions:
Te 0.0548 0.0548 0.0000
Te 0.3311 0.3311 0.0000
Te 0.6689 0.6689 0.0000
Te 0.9452 0.9452 0.0000
W 0.2210 0.2210 0.0000
W 0.5000 0.5000 0.0000
W 0.7790 0.7790 0.0000

---

10.
The following is a PBE calculation of a geometry-optimized TeW3 structure, from Alexandria via LeMat-Bulk.

Properties
**Offset from the most stable computed form**: 3177 meV/atom
**Density of states at the Fermi level**: 9.34 states/eV/cell
**ΔE_f (raw)**: 3.72 eV/atom

Unit cell a=4.9432 b=4.9432 c=4.9432 alpha=90.00 beta=90.00 gamma=90.00
Fractional positions:
Te 0.0000 0.0000 0.0000
W 0.0000 0.0000 0.5000
W 0.0000 0.5000 0.0000
W 0.5000 0.0000 0.0000

---

11.
The following is a PBE calculation of a geometry-optimized TeW2 structure, from Alexandria via LeMat-Bulk.

Properties
**Offset from the most stable computed form**: 532 meV/atom
**Density of states at the Fermi level**: 3.71 states/eV/cell
**ΔE_f (raw)**: 0.73 eV/atom

Unit cell a=5.5650 b=5.5650 c=6.7245 alpha=96.54 beta=96.54 gamma=34.06
Fractional positions:
Te 0.0000 0.0000 0.0000
Te 0.2381 0.2381 0.6439
W 0.3214 0.3214 0.2766
W 0.5888 0.5888 0.3217
W 0.7337 0.7337 0.9909
W 0.9782 0.9782 0.5617

---

12.
The following is a PBE calculation of a geometry-optimized TeW structure, from Alexandria via LeMat-Bulk.

Properties
**Offset from the most stable computed form**: 141 meV/atom
**Density of states at the Fermi level**: 3.02 states/eV/cell
**ΔE_f (raw)**: 0.37 eV/atom

Unit cell a=9.2344 b=9.2344 c=3.1914 alpha=90.00 beta=90.00 gamma=160.15
Fractional positions:
Te 0.1074 0.8926 0.7500
Te 0.8926 0.1074 0.2500
W 0.2975 0.7025 0.7500
W 0.7025 0.2975 0.2500

---

13.
The following is a PBE calculation of a geometry-optimized TeW structure, from Alexandria via LeMat-Bulk.

Properties
**Offset from the most stable computed form**: 1323 meV/atom
**Density of states at the Fermi level**: 16.47 states/eV/cell
**ΔE_f (raw)**: 1.55 eV/atom

Unit cell a=7.4796 b=7.4796 c=7.4796 alpha=90.00 beta=90.00 gamma=90.00
Fractional positions:
Te 0.0000 0.2500 0.5000
Te 0.0000 0.7500 0.5000
Te 0.2500 0.5000 0.0000
Te 0.5000 0.0000 0.2500
Te 0.5000 0.0000 0.7500
Te 0.7500 0.5000 0.0000
W 0.0000 0.5000 0.2500
W 0.0000 0.5000 0.7500
W 0.2500 0.0000 0.5000
W 0.5000 0.2500 0.0000
W 0.5000 0.7500 0.0000
W 0.7500 0.0000 0.5000

---

14.
The following is a PBE calculation of a geometry-optimized TeW2 structure, from Alexandria via LeMat-Bulk.

Properties
**Offset from the most stable computed form**: 306 meV/atom
**Density of states at the Fermi level**: 3.24 states/eV/cell
**ΔE_f (raw)**: 0.50 eV/atom

Unit cell a=9.2839 b=9.2839 c=4.5791 alpha=90.00 beta=90.00 gamma=159.52
Fractional positions:
Te 0.0935 0.9065 0.7500
Te 0.9065 0.0935 0.2500
W 0.2659 0.7341 0.2500
W 0.3435 0.6565 0.7500
W 0.6565 0.3435 0.2500
W 0.7341 0.2659 0.7500

---

15.
The following is a PBE calculation of a geometry-optimized TeW3 structure, from Alexandria via LeMat-Bulk.

Properties
**Offset from the most stable computed form**: 166 meV/atom
**Density of states at the Fermi level**: 3.89 states/eV/cell
**ΔE_f (raw)**: 0.71 eV/atom

Unit cell a=2.8720 b=2.8720 c=9.5808 alpha=90.00 beta=90.00 gamma=111.95
Fractional positions:
Te 0.0000 0.0000 0.0000
W 0.0000 0.0000 0.5000
W 0.5000 0.5000 0.2765
W 0.5000 0.5000 0.7235

---

16.
The following is a PBE calculation of a geometry-optimized Te3W2 structure, from Alexandria via LeMat-Bulk.

Properties
**Density of states at the Fermi level**: 7.77 states/eV/cell
**ΔE_f (raw)**: 0.54 eV/atom

Unit cell a=8.4677 b=6.4574 c=10.0075 alpha=57.13 beta=39.83 gamma=83.04
Fractional positions:
Te 0.0000 0.0000 0.0000
Te 0.2500 0.2500 0.2500
Te 0.2936 0.6580 0.3481
Te 0.5497 0.9019 0.5920
Te 0.6580 0.2936 0.7003
Te 0.9019 0.5497 0.9564
W 0.1595 0.3022 0.0277
W 0.2223 0.7395 0.0905
W 0.3022 0.1595 0.5105
W 0.7395 0.2223 0.9478

---

17.
The following is a PBE calculation of a geometry-optimized TeW5 structure, from Alexandria via LeMat-Bulk.

Properties
**Offset from the most stable computed form**: 361 meV/atom
**Density of states at the Fermi level**: 6.39 states/eV/cell
**ΔE_f (raw)**: 0.79 eV/atom

Unit cell a=5.3341 b=5.3341 c=5.3341 alpha=60.00 beta=60.00 gamma=60.00
Fractional positions:
Te 0.0000 0.0000 0.0000
W 0.3748 0.3748 0.3748
W 0.3748 0.3748 0.8755
W 0.3748 0.8755 0.3748
W 0.7500 0.7500 0.7500
W 0.8755 0.3748 0.3748

---

18.
The following is a PBE calculation of a geometry-optimized TeW2 structure, from Alexandria via LeMat-Bulk.

Properties
**Offset from the most stable computed form**: 897 meV/atom
**Density of states at the Fermi level**: 6.49 states/eV/cell
**ΔE_f (raw)**: 1.09 eV/atom

Unit cell a=4.8192 b=4.8192 c=5.3987 alpha=90.00 beta=90.00 gamma=120.00
Fractional positions:
Te 0.3333 0.6667 0.2500
Te 0.6667 0.3333 0.7500
W 0.0000 0.0000 0.0000
W 0.0000 0.0000 0.5000
W 0.3333 0.6667 0.7500
W 0.6667 0.3333 0.2500

---

19.
The following is a PBE calculation of a geometry-optimized TeW structure, from Alexandria via LeMat-Bulk.

Properties
**Offset from the most stable computed form**: 810 meV/atom
**Density of states at the Fermi level**: 2.95 states/eV/cell
**ΔE_f (raw)**: 1.04 eV/atom

Unit cell a=5.1399 b=5.1399 c=5.1399 alpha=129.67 beta=129.67 gamma=73.93
Fractional positions:
Te 0.3750 0.6250 0.7500
Te 0.6250 0.3750 0.2500
W 0.1250 0.8750 0.2500
W 0.8750 0.1250 0.7500

---

20.
The following is a PBE calculation of a geometry-optimized TeW structure, from Alexandria via LeMat-Bulk.

Properties
**Offset from the most stable computed form**: 489 meV/atom
**Density of states at the Fermi level**: 1.17 states/eV/cell
**ΔE_f (raw)**: 0.71 eV/atom

Unit cell a=3.2762 b=3.2762 c=9.2206 alpha=90.00 beta=90.00 gamma=120.00
Fractional positions:
Te 0.3333 0.6667 0.0000
Te 0.6667 0.3333 0.5000
W 0.3333 0.6667 0.2968
W 0.6667 0.3333 0.7968